(1)
The following is a DFT calculation (PBEsol) of crystalline BaIn2Ni at its relaxed geometry.

Properties
**Density of states at the Fermi level**: 3.81 states/eV/f.u.
**DFT formation energy**: -0.2339 eV per atom
**Calculated total energy**: -45.623 eV/cell

Cell: 4.458 4.458 18.653 Å, 90.00 90.00 120.00°
Positions (direct):
Ba: 0.000 0.000 0.000
Ba: 0.333 0.667 0.667
Ba: 0.667 0.333 0.333
In: 0.000 0.000 0.204
In: 0.000 0.000 0.796
In: 0.333 0.667 0.462
In: 0.333 0.667 0.871
In: 0.667 0.333 0.129
In: 0.667 0.333 0.538
Ni: 0.000 0.000 0.500
Ni: 0.333 0.667 0.167
Ni: 0.667 0.333 0.833



(2)
The following is a DFT calculation (PBEsol) of crystalline HfTaFe4 at its relaxed geometry.

Properties
**Density of states at the Fermi level**: 6.35 states/eV/f.u.
**DFT formation energy**: -0.2822 eV per atom
**Calculated total energy**: -121.202 eV/cell

Cell: 4.728 4.728 7.847 Å, 90.00 90.00 120.00°
Positions (direct):
Hf: 0.333 0.667 0.067
Hf: 0.667 0.333 0.933
Ta: 0.333 0.667 0.436
Ta: 0.667 0.333 0.564
Fe: 0.000 0.000 0.000
Fe: 0.000 0.000 0.500
Fe: 0.170 0.340 0.745
Fe: 0.170 0.830 0.745
Fe: 0.340 0.170 0.255
Fe: 0.660 0.830 0.745
Fe: 0.830 0.170 0.255
Fe: 0.830 0.660 0.255



(3)
The following is a DFT calculation (PBEsol) of crystalline RbBaPdPt2 at its relaxed geometry.

Properties
**Density of states at the Fermi level**: 4.83 states/eV/f.u.
**DFT formation energy**: 1.4527 eV per atom
**Calculated total energy**: -15.796 eV/cell

Cell: 5.351 5.351 6.163 Å, 90.00 90.00 90.00°
Positions (direct):
Rb: 0.000 0.000 0.000
Ba: 0.000 0.000 0.500
Pd: 0.500 0.500 0.000
Pt: 0.000 0.500 0.500
Pt: 0.500 0.000 0.500



(4)
The following is a DFT calculation (PBEsol) of crystalline Li2MnCoO4 at its relaxed geometry.

Properties
**Density of states at the Fermi level**: 0.02 states/eV/f.u.
**ΔE_f (raw)**: -158.5 kJ per mole of atoms
**Polymorph energy (0 for the lowest one)**: 23 meV per atom
**Calculated total energy**: -111.145 eV/cell

Cell: 5.120 2.810 9.459 Å, 90.00 97.24 90.00°
Positions (direct):
Li: 0.120 0.250 0.122
Li: 0.370 0.750 0.374
Li: 0.630 0.250 0.626
Li: 0.880 0.750 0.878
Mn: 0.151 0.750 0.633
Mn: 0.849 0.250 0.367
Co: 0.395 0.250 0.878
Co: 0.605 0.750 0.122
O: 0.053 0.250 0.756
O: 0.249 0.250 0.512
O: 0.287 0.750 0.993
O: 0.478 0.250 0.232
O: 0.522 0.750 0.768
O: 0.713 0.250 0.007
O: 0.751 0.750 0.488
O: 0.947 0.750 0.244



(5)
The following is a DFT calculation (PBEsol) of crystalline SiNi2Rh at its relaxed geometry.

Properties
**Density of states at the Fermi level**: 5.90 states/eV/f.u.
**ΔE_f (raw)**: -45.0 kJ per mole of atoms
**Calculated total energy**: -56.135 eV/cell

Cell: 3.707 3.707 6.631 Å, 90.00 90.00 90.00°
Positions (direct):
Si: 0.000 0.000 0.000
Si: 0.500 0.500 0.500
Ni: 0.000 0.000 0.500
Ni: 0.000 0.500 0.250
Ni: 0.500 0.000 0.750
Ni: 0.500 0.500 0.000
Rh: 0.000 0.500 0.750
Rh: 0.500 0.000 0.250



(6)
The following is a DFT calculation (PBEsol) of crystalline Li2BrO at its relaxed geometry.

Properties
**Density of states at the Fermi level**: 3.47 states/eV/f.u.
**ΔE_f (raw)**: -111.7 kJ per mole of atoms
**Calculated total energy**: -62.737 eV/cell

Cell: 5.356 5.356 8.778 Å, 90.00 90.00 90.00°
Positions (direct):
Li: 0.120 0.250 0.125
Li: 0.250 0.620 0.375
Li: 0.250 0.880 0.875
Li: 0.380 0.250 0.625
Li: 0.620 0.750 0.625
Li: 0.750 0.120 0.875
Li: 0.750 0.380 0.375
Li: 0.880 0.750 0.125
Br: 0.000 0.000 0.500
Br: 0.000 0.500 0.750
Br: 0.500 0.000 0.250
Br: 0.500 0.500 0.000
O: 0.000 0.000 0.000
O: 0.000 0.500 0.250
O: 0.500 0.000 0.750
O: 0.500 0.500 0.500



Which of these has the highest density of states at the Fermi level?
HfTaFe4